Record 1
# Al4Pb

A relaxed structure of Al4Pb (PBE, the Alexandria database).

For the formation energy, the calculation gives 1.093 eV/atom. For the volume, the calculation gives 157.09 Å³ per cell.

Geometry as CIF:
```
data_Al4Pb
_chemical_formula_sum 'Al4 Pb1'
_cell_length_a 5.396
_cell_length_b 5.396
_cell_length_c 5.396
_cell_angle_alpha 90.00
_cell_angle_beta 90.00
_cell_angle_gamma 90.00
_symmetry_space_group_name_H-M 'P m -3 m'
_symmetry_Int_Tables_number 221
_symmetry_space_group_name_Hall '-P 4 2 3'
loop_
_atom_site_label
_atom_site_type_symbol
_atom_site_fract_x
_atom_site_fract_y
_atom_site_fract_z
Al1 Al 0.000 0.000 0.000
Al2 Al 0.000 0.500 0.500
Pb1 Pb 0.500 0.500 0.500
```

Record 2
# Tl5Bi2Pb5

A relaxed structure of Tl5Bi2Pb5 (PBE, the Alexandria database).

For the formation energy, the calculation gives 0.009 eV/atom. For the volume, the calculation gives 763.98 Å³ per cell.

Geometry as CIF:
```
data_Tl5Bi2Pb5
_chemical_formula_sum 'Tl10 Bi4 Pb10'
_cell_length_a 15.070
_cell_length_b 5.043
_cell_length_c 11.240
_cell_angle_alpha 90.00
_cell_angle_beta 116.57
_cell_angle_gamma 90.00
_symmetry_space_group_name_H-M 'C 1 2/m 1'
_symmetry_Int_Tables_number 12
_symmetry_space_group_name_Hall '-C 2y'
loop_
_atom_site_label
_atom_site_type_symbol
_atom_site_fract_x
_atom_site_fract_y
_atom_site_fract_z
Tl1 Tl 0.000 0.000 0.000
Tl2 Tl 0.081 0.000 0.747
Tl3 Tl 0.166 0.000 0.497
Bi1 Bi 0.174 0.500 0.011
Pb1 Pb 0.000 0.500 0.500
Pb2 Pb 0.081 0.500 0.247
Pb3 Pb 0.245 0.000 0.247
```

Record 3
# CePr8Dy5

A relaxed structure of CePr8Dy5 (PBE, the Alexandria database).

For the formation energy, the calculation gives 0.174 eV/atom. For the volume, the calculation gives 969.88 Å³ per cell.

Geometry as CIF:
```
data_CePr8Dy5
_chemical_formula_sum 'Ce2 Pr16 Dy10'
_cell_length_a 13.100
_cell_length_b 11.154
_cell_length_c 9.216
_cell_angle_alpha 90.00
_cell_angle_beta 133.92
_cell_angle_gamma 90.00
_symmetry_space_group_name_H-M 'C 1 2 1'
_symmetry_Int_Tables_number 5
_symmetry_space_group_name_Hall 'C 2y'
loop_
_atom_site_label
_atom_site_type_symbol
_atom_site_fract_x
_atom_site_fract_y
_atom_site_fract_z
Ce1 Ce 0.000 0.000 0.000
Pr1 Pr 0.065 0.210 0.275
Pr2 Pr 0.067 0.782 0.284
Pr3 Pr 0.156 0.496 0.052
Pr4 Pr 0.190 0.304 0.764
Dy1 Dy 0.000 0.992 0.500
Dy2 Dy 0.168 0.496 0.455
Dy3 Dy 0.186 0.689 0.754
```

Record 4
# Nd3HoEr3

A relaxed structure of Nd3HoEr3 (PBE, the Alexandria database).

For the formation energy, the calculation gives 0.021 eV/atom. For the volume, the calculation gives 460.26 Å³ per cell.

Geometry as CIF:
```
data_Nd3HoEr3
_chemical_formula_sum 'Nd6 Ho2 Er6'
_cell_length_a 9.6153
_cell_length_b 9.6153
_cell_length_c 5.7474
_cell_angle_alpha 90.00
_cell_angle_beta 90.00
_cell_angle_gamma 120.00
_symmetry_space_group_name_H-M 'P 63/m'
_symmetry_Int_Tables_number 176
_symmetry_space_group_name_Hall '-P 6c'
loop_
_atom_site_label
_atom_site_type_symbol
_atom_site_fract_x
_atom_site_fract_y
_atom_site_fract_z
Nd1 Nd 0.0498 0.8059 0.2500
Ho1 Ho 0.3333 0.6667 0.2500
Er1 Er 0.0953 0.6159 0.7500
```

Record 5
# TaCdPd2

A relaxed structure of TaCdPd2 (PBE, the Alexandria database).

For the formation energy, the calculation gives -0.227 eV/atom. For the volume, the calculation gives 206.95 Å³ per cell.

Geometry as CIF:
```
data_TaCdPd2
_chemical_formula_sum 'Ta3 Cd3 Pd6'
_cell_length_a 2.9460
_cell_length_b 2.9460
_cell_length_c 27.5348
_cell_angle_alpha 90.00
_cell_angle_beta 90.00
_cell_angle_gamma 120.00
_symmetry_space_group_name_H-M 'R 3 m'
_symmetry_Int_Tables_number 160
_symmetry_space_group_name_Hall 'R 3 -2"'
loop_
_atom_site_label
_atom_site_type_symbol
_atom_site_fract_x
_atom_site_fract_y
_atom_site_fract_z
Ta1 Ta 0.0000 0.0000 0.0000
Cd1 Cd 0.0000 0.0000 0.8334
Pd1 Pd 0.0000 0.0000 0.4134
Pd2 Pd 0.0000 0.0000 0.5867
```

Record 6
# BeSn2GeTe

A relaxed structure of BeSn2GeTe (PBE, the Alexandria database).

For the volume, the calculation gives 157.40 Å³ per cell. Its raw total energy is -14.70 eV per formula unit.

Geometry as CIF:
```
data_BeSn2GeTe
_chemical_formula_sum 'Be1 Sn2 Ge1 Te1'
_cell_length_a 5.426
_cell_length_b 5.426
_cell_length_c 5.346
_cell_angle_alpha 90.00
_cell_angle_beta 90.00
_cell_angle_gamma 90.00
_symmetry_space_group_name_H-M 'P 4/m m m'
_symmetry_Int_Tables_number 123
_symmetry_space_group_name_Hall '-P 4 2'
loop_
_atom_site_label
_atom_site_type_symbol
_atom_site_fract_x
_atom_site_fract_y
_atom_site_fract_z
Be1 Be 0.000 0.000 0.000
Sn1 Sn 0.000 0.500 0.500
Ge1 Ge 0.500 0.500 0.500
Te1 Te 0.500 0.500 0.000
```

Record 7
# PmPaInGe

A relaxed structure of PmPaInGe (PBE, the Alexandria database).

For the formation energy, the calculation gives -0.177 eV/atom. For the volume, the calculation gives 409.55 Å³ per cell.

Geometry as CIF:
```
data_PmPaInGe
_chemical_formula_sum 'Pm4 Pa4 In4 Ge4'
_cell_length_a 7.426
_cell_length_b 7.426
_cell_length_c 7.426
_cell_angle_alpha 90.00
_cell_angle_beta 90.00
_cell_angle_gamma 90.00
_symmetry_space_group_name_H-M 'F -4 3 m'
_symmetry_Int_Tables_number 216
_symmetry_space_group_name_Hall 'F -4 2 3'
loop_
_atom_site_label
_atom_site_type_symbol
_atom_site_fract_x
_atom_site_fract_y
_atom_site_fract_z
Pm1 Pm 0.000 0.000 0.000
Pa1 Pa 0.000 0.000 0.500
In1 In 0.250 0.250 0.250
Ge1 Ge 0.250 0.250 0.750
```

Record 8
# TbNd2ScP4

A relaxed structure of TbNd2ScP4 (PBE, the Alexandria database).

For the formation energy, the calculation gives -1.508 eV/atom. For the volume, the calculation gives 185.95 Å³ per cell.

Geometry as CIF:
```
data_TbNd2ScP4
_chemical_formula_sum 'Tb1 Nd2 Sc1 P4'
_cell_length_a 6.980
_cell_length_b 4.043
_cell_length_c 6.991
_cell_angle_alpha 90.00
_cell_angle_beta 109.51
_cell_angle_gamma 90.00
_symmetry_space_group_name_H-M 'P 1 2/m 1'
_symmetry_Int_Tables_number 10
_symmetry_space_group_name_Hall '-P 2y'
loop_
_atom_site_label
_atom_site_type_symbol
_atom_site_fract_x
_atom_site_fract_y
_atom_site_fract_z
Tb1 Tb 0.000 0.000 0.000
Nd1 Nd 0.500 0.000 0.500
Nd2 Nd 0.500 0.500 0.000
Sc1 Sc 0.000 0.500 0.500
P1 P 0.231 0.000 0.737
P2 P 0.236 0.500 0.252
```

Record 9
# PrNdScCd

A relaxed structure of PrNdScCd (PBE, the Alexandria database).

For the formation energy, the calculation gives -0.060 eV/atom. For the volume, the calculation gives 465.95 Å³ per cell.

Geometry as CIF:
```
data_PrNdScCd
_chemical_formula_sum 'Pr4 Nd4 Sc4 Cd4'
_cell_length_a 7.753
_cell_length_b 7.753
_cell_length_c 7.753
_cell_angle_alpha 90.00
_cell_angle_beta 90.00
_cell_angle_gamma 90.00
_symmetry_space_group_name_H-M 'F -4 3 m'
_symmetry_Int_Tables_number 216
_symmetry_space_group_name_Hall 'F -4 2 3'
loop_
_atom_site_label
_atom_site_type_symbol
_atom_site_fract_x
_atom_site_fract_y
_atom_site_fract_z
Pr1 Pr 0.000 0.000 0.000
Nd1 Nd 0.000 0.000 0.500
Sc1 Sc 0.250 0.250 0.250
Cd1 Cd 0.250 0.250 0.750
```

Record 10
# RbBa2MgCu

A relaxed structure of RbBa2MgCu (PBE, the Alexandria database).

For the formation energy, the calculation gives 0.108 eV/atom. For the volume, the calculation gives 226.14 Å³ per cell.

Geometry as CIF:
```
data_RbBa2MgCu
_chemical_formula_sum 'Rb1 Ba2 Mg1 Cu1'
_cell_length_a 6.466
_cell_length_b 6.466
_cell_length_c 5.408
_cell_angle_alpha 90.00
_cell_angle_beta 90.00
_cell_angle_gamma 90.00
_symmetry_space_group_name_H-M 'P 4/m m m'
_symmetry_Int_Tables_number 123
_symmetry_space_group_name_Hall '-P 4 2'
loop_
_atom_site_label
_atom_site_type_symbol
_atom_site_fract_x
_atom_site_fract_y
_atom_site_fract_z
Rb1 Rb 0.000 0.000 0.000
Ba1 Ba 0.000 0.500 0.500
Mg1 Mg 0.500 0.500 0.000
Cu1 Cu 0.500 0.500 0.500
```

Record 11
# LuThAgRh

A relaxed structure of LuThAgRh (PBE, the Alexandria database).

For the formation energy, the calculation gives -0.492 eV/atom. For the volume, the calculation gives 364.59 Å³ per cell.

Geometry as CIF:
```
data_LuThAgRh
_chemical_formula_sum 'Lu4 Th4 Ag4 Rh4'
_cell_length_a 7.144
_cell_length_b 7.144
_cell_length_c 7.144
_cell_angle_alpha 90.00
_cell_angle_beta 90.00
_cell_angle_gamma 90.00
_symmetry_space_group_name_H-M 'F -4 3 m'
_symmetry_Int_Tables_number 216
_symmetry_space_group_name_Hall 'F -4 2 3'
loop_
_atom_site_label
_atom_site_type_symbol
_atom_site_fract_x
_atom_site_fract_y
_atom_site_fract_z
Lu1 Lu 0.000 0.000 0.000
Th1 Th 0.000 0.000 0.500
Ag1 Ag 0.250 0.250 0.750
Rh1 Rh 0.250 0.250 0.250
```

Record 12
# Cd2NiP2

A relaxed structure of Cd2NiP2 (PBE, the Alexandria database).

For the formation energy, the calculation gives -0.065 eV/atom. For the volume, the calculation gives 193.30 Å³ per cell.

Geometry as CIF:
```
data_Cd2NiP2
_chemical_formula_sum 'Cd4 Ni2 P4'
_cell_length_a 5.616
_cell_length_b 5.616
_cell_length_c 6.129
_cell_angle_alpha 90.00
_cell_angle_beta 90.00
_cell_angle_gamma 90.00
_symmetry_space_group_name_H-M 'P 4/m b m'
_symmetry_Int_Tables_number 127
_symmetry_space_group_name_Hall '-P 4 2ab'
loop_
_atom_site_label
_atom_site_type_symbol
_atom_site_fract_x
_atom_site_fract_y
_atom_site_fract_z
Cd1 Cd 0.184 0.316 0.000
Ni1 Ni 0.000 0.000 0.500
P1 P 0.135 0.635 0.500
```